HfFeF2 | PBE with a Hubbard U | relaxed

a = 5.130 Å, b = 5.130 Å, c = 9.984 Å
α = 90.00°, β = 90.00°, γ = 90.00°
Space group I-42d (No. 122)
Unique sites:
Hf  0.000  0.000  0.000 x4
Fe  0.000  0.000  0.500 x4
F  0.249  0.250  0.625 x8

Properties
* energy above the most stable polymorph in this dataset: 37.7 kJ per mole of atoms